The following is a PBE calculation of an optimized crystal structure of KSnF2, from the Alexandria database.

a = 6.210 Å, b = 6.210 Å, c = 6.210 Å
α = 114.34°, β = 114.34°, γ = 100.12°
Element x y z (fractional)
K 0.000 0.000 0.000
K 0.750 0.250 0.500
Sn 0.250 0.750 0.500
Sn 0.500 0.500 0.000
F 0.137 0.625 0.012
F 0.375 0.387 0.512
F 0.613 0.125 0.988
F 0.875 0.863 0.488

Energy relative to the elements, uncorrected, kJ/mol of formula units: -693
Crystal system: tetragonal
Space-group type: I-42d
Relative energy among the computed polymorphs, eV per atom: 0.341
Fermi-level density of states, states/eV/cell: 1.64